1.
{"formula": "Zr3BeGe2", "functional": "PBE-GGA", "state": "optimized geometry", "cell": [[10.8306, 0.0000, 0.0000], [0.0000, 3.7589, 0.0000], [0.0000, 0.0000, 10.5851]], "species": ["Zr", "Zr", "Zr", "Zr", "Zr", "Zr", "Zr", "Zr", "Zr", "Zr", "Zr", "Zr", "Be", "Be", "Be", "Be", "Ge", "Ge", "Ge", "Ge", "Ge", "Ge", "Ge", "Ge"], "fractional_positions": [[0.0498, 0.2500, 0.1209], [0.1172, 0.7500, 0.5617], [0.2115, 0.2500, 0.7890], [0.2885, 0.7500, 0.2890], [0.3828, 0.2500, 0.0617], [0.4502, 0.7500, 0.6209], [0.5498, 0.2500, 0.3791], [0.6172, 0.7500, 0.9383], [0.7115, 0.2500, 0.7110], [0.7885, 0.7500, 0.2110], [0.8828, 0.2500, 0.4383], [0.9502, 0.7500, 0.8791], [0.1300, 0.2500, 0.3732], [0.3700, 0.7500, 0.8732], [0.6300, 0.2500, 0.1268], [0.8700, 0.7500, 0.6268], [0.0280, 0.7500, 0.3121], [0.1948, 0.7500, 0.9950], [0.3052, 0.2500, 0.4950], [0.4720, 0.2500, 0.8121], [0.5280, 0.7500, 0.1879], [0.6948, 0.7500, 0.5050], [0.8052, 0.2500, 0.0050], [0.9720, 0.2500, 0.6879]], "spacegroup": "Pnma", "total_magnetization_mub_per_cell": 0.00, "formation_enthalpy_0k_ev_per_atom": -0.73, "total_energy_ev_per_atom": -7.160, "dos_ef_per_ev_atom": 0.544}

2.
{"formula": "La3MnCl", "functional": "PBE-GGA", "state": "optimized geometry", "cell": [[5.3317, 0.0000, 0.0000], [0.0000, 5.3317, 0.0000], [0.0000, 0.0000, 5.3317]], "species": ["La", "La", "La", "Mn", "Cl"], "fractional_positions": [[0.0000, 0.0000, 0.5000], [0.0000, 0.5000, 0.0000], [0.5000, 0.0000, 0.0000], [0.0000, 0.0000, 0.0000], [0.5000, 0.5000, 0.5000]], "spacegroup": "Pm-3m", "raw_formation_energy_kj_per_mol_atoms": -14.9, "total_magnetization_mub_per_cell": 0.13, "total_energy_ev_per_atom": -5.314, "dos_ef_per_ev_atom": 1.699}

3.
{"formula": "Tb2ThTe", "functional": "PBE-GGA", "state": "optimized geometry", "cell": [[1.8776, 1.0841, 10.9494], [-1.8776, 1.0841, 10.9494], [0.0000, -2.1681, 10.9494]], "species": ["Tb", "Tb", "Th", "Te"], "fractional_positions": [[0.1023, 0.1023, 0.1023], [0.8977, 0.8977, 0.8977], [0.0000, 0.0000, 0.0000], [0.5000, 0.5000, 0.5000]], "polymorph_energy_mev_per_atom": 392.6, "spacegroup": "R-3m", "raw_formation_energy_kj_per_mol_atoms": -17.6, "total_magnetization_mub_per_cell": 0.00, "total_energy_ev_per_atom": -5.138, "dos_ef_per_ev_atom": 1.290}